# 1
PrSmIr2 after structural relaxation, computed with PBE-GGA.

Output
- crystal system = tetragonal
- ΔH_f (0 K) (eV/atom) = -0.5560
- distance to the lowest polymorph of the same formula (kJ/mol of formula units) = 27
- symmetry = No. 123

Cell lengths 4.9147, 4.9147, 3.6684 Å; angles 90.00, 90.00, 90.00 degrees
Atoms (fractional coordinates):
Pr 0.0000 0.0000 0.0000
Sm 0.5000 0.5000 0.0000
Ir 0.0000 0.5000 0.5000
Ir 0.5000 0.0000 0.5000

# 2
Pr2Sm2Ir3 after structural relaxation, computed with PBE-GGA.

Output
- crystal system = triclinic
- ΔH_f (0 K) (eV/atom) = -0.5170
- distance to the lowest polymorph of the same formula (kJ/mol of formula units) = 58
- symmetry = No. 2

Cell lengths 4.2764, 6.8020, 7.4215 Å; angles 100.10, 90.04, 108.30 degrees
Atoms (fractional coordinates):
Pr 0.1418 0.2820 0.3518
Pr 0.8582 0.7180 0.6482
Sm 0.3692 0.7379 0.0842
Sm 0.6308 0.2621 0.9158
Ir 0.0000 0.0000 0.0000
Ir 0.2216 0.4446 0.7392
Ir 0.7784 0.5554 0.2608